PmGe3Rh: relaxed, PBE-GGA.

Cell: 5.953 5.953 5.953 Å, 136.57 136.57 63.09°
Sites, in units of the cell vectors:
Pm1 0.000 0.000 0.000
Ge1 0.264 0.764 0.500
Ge2 0.424 0.424 0.000
Ge3 0.764 0.264 0.500
Rh1 0.660 0.660 0.000

Results
* relative energy among the computed polymorphs: 0 meV/atom
* calculated total energy: -29.41 eV for the cell shown
* energy of formation: -691 meV per atom
* volume: 98.4 Å³ per cell
* symmetry: No. 107